[1]
LaNiOs2: relaxed, GGA-PBEsol.

The structure in CIF format:
```
data_LaNiOs2
_chemical_formula_sum 'La1 Ni1 Os2'
_symmetry_space_group_name_H-M 'P 1'
_symmetry_Int_Tables_number 1
_cell_length_a 4.255
_cell_length_b 4.255
_cell_length_c 5.638
_cell_angle_alpha 67.83
_cell_angle_beta 67.83
_cell_angle_gamma 60.00
loop_
_symmetry_equiv_pos_as_xyz
'x,y,z'
loop_
_atom_site_label
_atom_site_fract_x
_atom_site_fract_y
_atom_site_fract_z
Ni1 0.308 0.308 0.076
Os1 0.014 0.014 0.959
Os2 0.694 0.694 0.917
La1 0.506 0.506 0.482
```

Output
ΔE to the lowest computed polymorph (meV/atom): 0.0
Energy of formation from the pure elements (eV/atom): 0.00
Density of states at the Fermi level (states/eV/cell): 1.7

---

[2]
Zn2FeOs: relaxed, GGA-PBEsol.

The structure in CIF format:
```
data_Zn2FeOs
_chemical_formula_sum 'Zn2 Fe1 Os1'
_symmetry_space_group_name_H-M 'P 1'
_symmetry_Int_Tables_number 1
_cell_length_a 2.672
_cell_length_b 2.672
_cell_length_c 7.158
_cell_angle_alpha 90.00
_cell_angle_beta 90.00
_cell_angle_gamma 90.00
loop_
_symmetry_equiv_pos_as_xyz
'x,y,z'
loop_
_atom_site_label
_atom_site_fract_x
_atom_site_fract_y
_atom_site_fract_z
Fe1 0.000 0.000 0.509
Os1 0.500 0.500 0.725
Zn1 0.000 0.000 0.996
Zn2 0.500 0.500 0.269
```

Output
ΔE to the lowest computed polymorph (meV/atom): 0.0
Energy of formation from the pure elements (eV/atom): 0.03
Density of states at the Fermi level (states/eV/cell): 2.4

---

[3]
FeCu2Ir: relaxed, GGA-PBEsol.

The structure in CIF format:
```
data_FeCu2Ir
_chemical_formula_sum 'Fe1 Cu2 Ir1'
_symmetry_space_group_name_H-M 'P 1'
_symmetry_Int_Tables_number 1
_cell_length_a 2.610
_cell_length_b 2.610
_cell_length_c 8.421
_cell_angle_alpha 81.08
_cell_angle_beta 81.08
_cell_angle_gamma 60.00
loop_
_symmetry_equiv_pos_as_xyz
'x,y,z'
loop_
_atom_site_label
_atom_site_fract_x
_atom_site_fract_y
_atom_site_fract_z
Cu1 0.003 0.003 0.991
Cu2 0.750 0.750 0.749
Fe1 0.499 0.499 0.504
Ir1 0.248 0.248 0.256
```

Output
ΔE to the lowest computed polymorph (meV/atom): 0.0
Energy of formation from the pure elements (eV/atom): 0.08
Density of states at the Fermi level (states/eV/cell): 3.3

---

[4]
Fe8O9: relaxed, GGA-PBEsol.

The structure in CIF format:
```
data_Fe8O9
_chemical_formula_sum 'Fe8 O9'
_symmetry_space_group_name_H-M 'P 1'
_symmetry_Int_Tables_number 1
_cell_length_a 5.002
_cell_length_b 5.246
_cell_length_c 6.399
_cell_angle_alpha 84.77
_cell_angle_beta 73.63
_cell_angle_gamma 83.23
loop_
_symmetry_equiv_pos_as_xyz
'x,y,z'
loop_
_atom_site_label
_atom_site_fract_x
_atom_site_fract_y
_atom_site_fract_z
Fe1 0.788 0.548 0.888
Fe2 0.212 0.452 0.112
Fe3 0.311 0.669 0.688
Fe4 0.582 0.111 0.766
Fe5 0.072 0.204 0.587
Fe6 0.418 0.889 0.234
Fe7 0.928 0.796 0.413
Fe8 0.689 0.331 0.312
O1 0.070 0.143 0.270
O2 0.426 0.742 0.956
O3 0.718 0.467 0.611
O4 0.847 0.655 0.153
O5 0.930 0.857 0.730
O6 0.500 0.000 0.500
O7 0.153 0.345 0.847
O8 0.574 0.258 0.044
O9 0.282 0.533 0.389
```

Output
ΔE to the lowest computed polymorph (meV/atom): 16.2
ΔE_f (raw) (eV/atom): -0.93
Density of states at the Fermi level (states/eV/cell): 7.1

---

[5]
AsP2Ru: relaxed, GGA-PBEsol.

The structure in CIF format:
```
data_AsP2Ru
_chemical_formula_sum 'As1 P2 Ru1'
_symmetry_space_group_name_H-M 'P 1'
_symmetry_Int_Tables_number 1
_cell_length_a 3.178
_cell_length_b 3.178
_cell_length_c 7.013
_cell_angle_alpha 76.90
_cell_angle_beta 76.90
_cell_angle_gamma 60.00
loop_
_symmetry_equiv_pos_as_xyz
'x,y,z'
loop_
_atom_site_label
_atom_site_fract_x
_atom_site_fract_y
_atom_site_fract_z
As1 0.246 0.246 0.263
Ru1 0.499 0.499 0.503
P1 0.744 0.744 0.769
P2 0.012 0.012 0.965
```

Output
Energy of formation from the pure elements (eV/atom): 0.00
Density of states at the Fermi level (states/eV/cell): 2.9

---

[6]
ZrHg2MoPd: relaxed, GGA-PBEsol.

The structure in CIF format:
```
data_ZrHg2MoPd
_chemical_formula_sum 'Zr1 Hg2 Mo1 Pd1'
_symmetry_space_group_name_H-M 'P 1'
_symmetry_Int_Tables_number 1
_cell_length_a 4.671
_cell_length_b 5.154
_cell_length_c 5.154
_cell_angle_alpha 90.00
_cell_angle_beta 90.00
_cell_angle_gamma 90.00
loop_
_symmetry_equiv_pos_as_xyz
'x,y,z'
loop_
_atom_site_label
_atom_site_fract_x
_atom_site_fract_y
_atom_site_fract_z
Pd1 0.500 0.500 0.500
Zr1 0.500 0.000 0.000
Hg1 0.000 0.500 0.000
Hg2 0.000 0.000 0.500
Mo1 0.000 0.000 0.000
```

Output
Energy of formation from the pure elements (eV/atom): 1.02
Density of states at the Fermi level (states/eV/cell): 3.3

---

[7]
Cd3Ag: relaxed, GGA-PBEsol.

The structure in CIF format:
```
data_Cd3Ag
_chemical_formula_sum 'Cd3 Ag1'
_symmetry_space_group_name_H-M 'P 1'
_symmetry_Int_Tables_number 1
_cell_length_a 4.220
_cell_length_b 4.220
_cell_length_c 5.223
_cell_angle_alpha 113.83
_cell_angle_beta 113.83
_cell_angle_gamma 90.00
loop_
_symmetry_equiv_pos_as_xyz
'x,y,z'
loop_
_atom_site_label
_atom_site_fract_x
_atom_site_fract_y
_atom_site_fract_z
Cd1 0.250 0.750 0.500
Cd2 0.500 0.500 0.000
Cd3 0.750 0.250 0.500
Ag1 0.000 0.000 0.000
```

Output
Energy of formation from the pure elements (eV/atom): -0.02
Density of states at the Fermi level (states/eV/cell): 1.3

---

[8]
CaCoSCl2: relaxed, GGA-PBEsol.

The structure in CIF format:
```
data_CaCoSCl2
_chemical_formula_sum 'Ca1 Co1 S1 Cl2'
_symmetry_space_group_name_H-M 'P 1'
_symmetry_Int_Tables_number 1
_cell_length_a 5.025
_cell_length_b 5.025
_cell_length_c 5.435
_cell_angle_alpha 90.00
_cell_angle_beta 90.00
_cell_angle_gamma 90.00
loop_
_symmetry_equiv_pos_as_xyz
'x,y,z'
loop_
_atom_site_label
_atom_site_fract_x
_atom_site_fract_y
_atom_site_fract_z
Cl1 0.000 0.500 0.000
Cl2 0.500 0.000 0.000
Ca1 0.000 0.000 0.000
S1 0.000 0.000 0.500
Co1 0.500 0.500 0.500
```

Output
ΔE_f (raw) (eV/atom): -0.12
Density of states at the Fermi level (states/eV/cell): 8.0

---

[9]
CaTc: relaxed, GGA-PBEsol.

The structure in CIF format:
```
data_CaTc
_chemical_formula_sum 'Ca1 Tc1'
_symmetry_space_group_name_H-M 'P 1'
_symmetry_Int_Tables_number 1
_cell_length_a 2.730
_cell_length_b 2.730
_cell_length_c 4.930
_cell_angle_alpha 90.00
_cell_angle_beta 90.00
_cell_angle_gamma 90.00
loop_
_symmetry_equiv_pos_as_xyz
'x,y,z'
loop_
_atom_site_label
_atom_site_fract_x
_atom_site_fract_y
_atom_site_fract_z
Ca1 0.000 0.000 0.000
Tc1 0.500 0.500 0.500
```

Output
ΔE to the lowest computed polymorph (meV/atom): 520.9
Energy of formation from the pure elements (eV/atom): 0.79
Density of states at the Fermi level (states/eV/cell): 1.6

---

[10]
Zr2OsBr: relaxed, GGA-PBEsol.

The structure in CIF format:
```
data_Zr2OsBr
_chemical_formula_sum 'Zr2 Os1 Br1'
_symmetry_space_group_name_H-M 'P 1'
_symmetry_Int_Tables_number 1
_cell_length_a 3.158
_cell_length_b 3.218
_cell_length_c 7.960
_cell_angle_alpha 90.01
_cell_angle_beta 90.00
_cell_angle_gamma 90.00
loop_
_symmetry_equiv_pos_as_xyz
'x,y,z'
loop_
_atom_site_label
_atom_site_fract_x
_atom_site_fract_y
_atom_site_fract_z
Zr1 0.000 0.000 0.206
Zr2 0.000 0.000 0.794
Br1 0.500 0.000 0.500
Os1 0.500 0.500 0.000
```

Output
ΔE to the lowest computed polymorph (meV/atom): 0.0
ΔE_f (raw) (eV/atom): -0.54
Density of states at the Fermi level (states/eV/cell): 2.6

---

[11]
PtAuF3: relaxed, GGA-PBEsol.

The structure in CIF format:
```
data_PtAuF3
_chemical_formula_sum 'Pt1 Au1 F3'
_symmetry_space_group_name_H-M 'P 1'
_symmetry_Int_Tables_number 1
_cell_length_a 4.187
_cell_length_b 4.187
_cell_length_c 4.187
_cell_angle_alpha 90.00
_cell_angle_beta 90.00
_cell_angle_gamma 90.00
loop_
_symmetry_equiv_pos_as_xyz
'x,y,z'
loop_
_atom_site_label
_atom_site_fract_x
_atom_site_fract_y
_atom_site_fract_z
Au1 0.500 0.500 0.500
F1 0.500 0.000 0.000
F2 0.000 0.500 0.000
F3 0.000 0.000 0.500
Pt1 0.000 0.000 0.000
```

Output
ΔE_f (raw) (eV/atom): -0.31
Density of states at the Fermi level (states/eV/cell): 1.5

---

[12]
Sr2ScSi: relaxed, GGA-PBEsol.

The structure in CIF format:
```
data_Sr2ScSi
_chemical_formula_sum 'Sr2 Sc1 Si1'
_symmetry_space_group_name_H-M 'P 1'
_symmetry_Int_Tables_number 1
_cell_length_a 3.737
_cell_length_b 4.542
_cell_length_c 6.759
_cell_angle_alpha 90.00
_cell_angle_beta 90.00
_cell_angle_gamma 90.00
loop_
_symmetry_equiv_pos_as_xyz
'x,y,z'
loop_
_atom_site_label
_atom_site_fract_x
_atom_site_fract_y
_atom_site_fract_z
Sr1 0.000 0.000 0.274
Sr2 0.000 0.000 0.726
Sc1 0.500 0.500 0.000
Si1 0.500 0.500 0.500
```

Output
ΔE_f (raw) (eV/atom): 0.09
Density of states at the Fermi level (states/eV/cell): 2.9

---

[13]
Hg2PtW: relaxed, GGA-PBEsol.

The structure in CIF format:
```
data_Hg2PtW
_chemical_formula_sum 'Hg2 Pt1 W1'
_symmetry_space_group_name_H-M 'P 1'
_symmetry_Int_Tables_number 1
_cell_length_a 4.622
_cell_length_b 4.622
_cell_length_c 4.622
_cell_angle_alpha 60.00
_cell_angle_beta 60.00
_cell_angle_gamma 60.00
loop_
_symmetry_equiv_pos_as_xyz
'x,y,z'
loop_
_atom_site_label
_atom_site_fract_x
_atom_site_fract_y
_atom_site_fract_z
Hg1 0.750 0.750 0.750
Hg2 0.250 0.250 0.250
W1 0.500 0.500 0.500
Pt1 0.000 0.000 0.000
```

Output
ΔE to the lowest computed polymorph (meV/atom): 289.5
Energy of formation from the pure elements (eV/atom): 0.73
Density of states at the Fermi level (states/eV/cell): 3.9

---

[14]
AgCBr2: relaxed, GGA-PBEsol.

The structure in CIF format:
```
data_AgCBr2
_chemical_formula_sum 'Ag1 C1 Br2'
_symmetry_space_group_name_H-M 'P 1'
_symmetry_Int_Tables_number 1
_cell_length_a 3.314
_cell_length_b 3.314
_cell_length_c 8.859
_cell_angle_alpha 79.22
_cell_angle_beta 79.22
_cell_angle_gamma 60.00
loop_
_symmetry_equiv_pos_as_xyz
'x,y,z'
loop_
_atom_site_label
_atom_site_fract_x
_atom_site_fract_y
_atom_site_fract_z
Ag1 0.000 0.000 0.000
Br1 0.889 0.889 0.333
Br2 0.111 0.111 0.667
C1 0.500 0.500 0.500
```

Output
ΔE_f (raw) (eV/atom): 1.36
Density of states at the Fermi level (states/eV/cell): 0.7

---

[15]
FeNi2Rh: relaxed, GGA-PBEsol.

The structure in CIF format:
```
data_FeNi2Rh
_chemical_formula_sum 'Fe1 Ni2 Rh1'
_symmetry_space_group_name_H-M 'P 1'
_symmetry_Int_Tables_number 1
_cell_length_a 2.957
_cell_length_b 2.957
_cell_length_c 5.312
_cell_angle_alpha 90.00
_cell_angle_beta 90.00
_cell_angle_gamma 90.00
loop_
_symmetry_equiv_pos_as_xyz
'x,y,z'
loop_
_atom_site_label
_atom_site_fract_x
_atom_site_fract_y
_atom_site_fract_z
Ni1 0.500 0.500 0.228
Ni2 0.000 0.000 0.003
Rh1 0.000 0.000 0.498
Fe1 0.500 0.500 0.771
```

Output
Energy of formation from the pure elements (eV/atom): 0.06
Density of states at the Fermi level (states/eV/cell): 5.5

---

[16]
MgCd2Tc: relaxed, GGA-PBEsol.

The structure in CIF format:
```
data_MgCd2Tc
_chemical_formula_sum 'Mg1 Cd2 Tc1'
_symmetry_space_group_name_H-M 'P 1'
_symmetry_Int_Tables_number 1
_cell_length_a 2.861
_cell_length_b 5.152
_cell_length_c 5.152
_cell_angle_alpha 112.59
_cell_angle_beta 90.00
_cell_angle_gamma 90.00
loop_
_symmetry_equiv_pos_as_xyz
'x,y,z'
loop_
_atom_site_label
_atom_site_fract_x
_atom_site_fract_y
_atom_site_fract_z
Cd1 0.000 0.000 0.500
Cd2 0.000 0.500 0.000
Mg1 0.500 0.000 0.000
Tc1 0.500 0.500 0.500
```

Output
Energy of formation from the pure elements (eV/atom): 0.25
Density of states at the Fermi level (states/eV/cell): 3.0

---

[17]
LiTlAs2: relaxed, GGA-PBEsol.

The structure in CIF format:
```
data_LiTlAs2
_chemical_formula_sum 'Li1 Tl1 As2'
_symmetry_space_group_name_H-M 'P 1'
_symmetry_Int_Tables_number 1
_cell_length_a 4.092
_cell_length_b 4.092
_cell_length_c 5.619
_cell_angle_alpha 111.35
_cell_angle_beta 111.35
_cell_angle_gamma 90.00
loop_
_symmetry_equiv_pos_as_xyz
'x,y,z'
loop_
_atom_site_label
_atom_site_fract_x
_atom_site_fract_y
_atom_site_fract_z
As1 0.250 0.750 0.500
As2 0.750 0.250 0.500
Li1 0.500 0.500 0.000
Tl1 0.000 0.000 0.000
```

Output
Energy of formation from the pure elements (eV/atom): -0.06
Density of states at the Fermi level (states/eV/cell): 1.4

---

[18]
Co2SeBr: relaxed, GGA-PBEsol.

The structure in CIF format:
```
data_Co2SeBr
_chemical_formula_sum 'Co2 Se1 Br1'
_symmetry_space_group_name_H-M 'P 1'
_symmetry_Int_Tables_number 1
_cell_length_a 3.458
_cell_length_b 3.313
_cell_length_c 6.135
_cell_angle_alpha 90.00
_cell_angle_beta 90.00
_cell_angle_gamma 90.00
loop_
_symmetry_equiv_pos_as_xyz
'x,y,z'
loop_
_atom_site_label
_atom_site_fract_x
_atom_site_fract_y
_atom_site_fract_z
Co1 0.000 0.500 0.500
Co2 0.000 0.000 0.000
Se1 0.500 0.500 0.000
Br1 0.500 0.000 0.500
```

Output
ΔE to the lowest computed polymorph (meV/atom): 604.0
ΔE_f (raw) (eV/atom): 0.56
Density of states at the Fermi level (states/eV/cell): 6.4

---

[19]
CdCuIr2: relaxed, GGA-PBEsol.

The structure in CIF format:
```
data_CdCuIr2
_chemical_formula_sum 'Cd1 Cu1 Ir2'
_symmetry_space_group_name_H-M 'P 1'
_symmetry_Int_Tables_number 1
_cell_length_a 2.792
_cell_length_b 2.792
_cell_length_c 7.455
_cell_angle_alpha 90.00
_cell_angle_beta 90.00
_cell_angle_gamma 90.00
loop_
_symmetry_equiv_pos_as_xyz
'x,y,z'
loop_
_atom_site_label
_atom_site_fract_x
_atom_site_fract_y
_atom_site_fract_z
Cd1 0.500 0.500 0.000
Ir1 0.000 0.000 0.281
Ir2 0.000 0.000 0.719
Cu1 0.500 0.500 0.500
```

Output
Energy of formation from the pure elements (eV/atom): 0.32
Density of states at the Fermi level (states/eV/cell): 6.1

---

[20]
Ta2MnZnO8: relaxed, GGA-PBEsol.

The structure in CIF format:
```
data_Ta2MnZnO8
_chemical_formula_sum 'Ta4 Mn2 Zn2 O16'
_symmetry_space_group_name_H-M 'P 1'
_symmetry_Int_Tables_number 1
_cell_length_a 4.910
_cell_length_b 5.564
_cell_length_c 10.203
_cell_angle_alpha 105.82
_cell_angle_beta 104.22
_cell_angle_gamma 90.00
loop_
_symmetry_equiv_pos_as_xyz
'x,y,z'
loop_
_atom_site_label
_atom_site_fract_x
_atom_site_fract_y
_atom_site_fract_z
O1 0.503 0.572 0.374
O2 0.978 0.275 0.336
O3 0.022 0.938 0.664
O4 0.497 0.198 0.626
O5 0.285 0.814 0.879
O6 0.984 0.432 0.612
O7 0.210 0.186 0.118
O8 0.732 0.455 0.107
O9 0.715 0.935 0.121
O10 0.771 0.555 0.892
O11 0.483 0.071 0.338
O12 0.268 0.347 0.893
O13 0.790 0.068 0.882
O14 0.517 0.733 0.662
O15 0.016 0.820 0.388
O16 0.229 0.663 0.108
Ta1 0.099 0.937 0.249
Ta2 0.411 0.076 0.758
Ta3 0.901 0.688 0.751
Ta4 0.589 0.318 0.242
Mn1 0.500 0.657 0.000
Mn2 0.000 0.355 0.000
Zn1 0.784 0.075 0.513
Zn2 0.216 0.561 0.487
```

Output
ΔE_f (raw) (eV/atom): -2.25